A relaxed structure of ZrCuTc, computed with PBE-GGA.

```
12
Lattice="-0.930 4.360 0.647 -1.335 -0.842 3.755 9.893 1.537 3.863" Properties=species:S:1:pos:R:3 pbc="T T T"
Zr 8.194 3.525 3.705
Zr 1.241 -0.125 2.623
Tc 1.444 2.477 1.069
Tc 5.034 3.034 2.471
Cu 0.198 0.031 0.077
Tc -0.580 1.845 2.417
Tc 5.723 2.824 4.878
Zr 2.580 2.336 3.651
Cu 8.039 0.932 5.277
Zr 6.855 1.065 2.677
Cu 4.477 0.378 3.886
Cu 3.760 0.584 1.468
```

Calculated values
- Energy relative to the lowest polymorph listed for this composition: 0.184 eV/atom
- Uncorrected energy: -0.28264 Ha/atom
- DOS(E_F): 11.0 states/eV per cell
- Formation enthalpy at 0 K: -0.02 eV/atom